Record 1
Compound: La2BeAu
Source: Alexandria
Functional: PBE
Structure: relaxed

a b c (Å): 3.9786 3.9786 24.7528
angles (deg): 90.00 90.00 120.00
Closest atoms and distances in Å follow each position.
Space group R-3m (No. 166, hexagonal axes)
Asymmetric unit:
La  0.0000  0.0000  0.2462  3 Be 3.02, 3 Au 3.15
Be  0.0000  0.0000  0.5000  6 La 3.02
Au  0.0000  0.0000  0.0000  6 La 3.15

Computed properties:
Calculated formation energy   -0.2 eV/f.u.
M_tot   0.000 μB/atom
DFT total energy   -4.269 eV per atom



Record 2
Compound: LaBeAu3
Source: Alexandria
Functional: PBE
Structure: relaxed

a b c (Å): 5.7504 5.7504 5.7504
angles (deg): 90.00 90.00 90.00
Closest atoms and distances in Å follow each position.
Space group Pm-3m (No. 221)
Asymmetric unit:
La  0.0000  0.0000  0.0000  6 Au 2.88
Be  0.5000  0.5000  0.5000  12 Au 4.07
Au  0.0000  0.0000  0.5000  2 La 2.88

Computed properties:
Calculated formation energy   4.3 eV/f.u.
M_tot   0.000 μB/atom
DFT total energy   -2.844 eV per atom



Record 3
Compound: La3BeAu
Source: Alexandria
Functional: PBE
Structure: relaxed

a b c (Å): 5.3676 5.3676 5.3676
angles (deg): 90.00 90.00 90.00
Closest atoms and distances in Å follow each position.
Space group Pm-3m (No. 221)
Asymmetric unit:
La  0.0000  0.0000  0.5000  2 Be 2.68
Be  0.0000  0.0000  0.0000  6 La 2.68
Au  0.5000  0.5000  0.5000  12 La 3.80

Computed properties:
Calculated formation energy   1.0 eV/f.u.
M_tot   0.001 μB/atom
DFT total energy   -4.155 eV per atom



Record 4
Compound: LaBe2Au
Source: Alexandria
Functional: PBE
Structure: relaxed

a b c (Å): 4.2159 5.4693 6.5894
angles (deg): 90.00 90.00 90.00
Closest atoms and distances in Å follow each position.
Space group Immm (No. 71)
Asymmetric unit:
La  0.0000  0.0000  0.0000  8 Be 2.94-3.05, 2 Au 3.29
Be  0.0000  0.5000  0.1657  1 Be 2.18, 2 Au 2.37
Au  0.0000  0.0000  0.5000  4 Be 2.37

Computed properties:
Calculated formation energy   -0.2 eV/f.u.
M_tot   0.000 μB/atom
DFT total energy   -3.962 eV per atom



Record 5
Compound: LaBe3Au6
Source: Alexandria
Functional: PBE
Structure: relaxed

a b c (Å): 5.7585 5.7585 18.4579
angles (deg): 90.00 90.00 120.00
Closest atoms and distances in Å follow each position.
Space group R3 (No. 146, hexagonal axes)
Asymmetric unit:
La  0.0000  0.0000  0.0000  1 Be 2.98, 9 Au 3.18-3.20
Be  0.0000  0.0000  0.3085  6 Au 2.41-2.49
Be  0.0000  0.0000  0.6442  6 Au 2.44-2.47
Be  0.0000  0.0000  0.8385  6 Au 2.44-2.51
Au  0.0007  0.4110  0.8848  3 Be 2.41-2.51
Au  0.0027  0.5016  0.0759  3 Be 2.44-2.49

Computed properties:
Calculated formation energy   -3.0 eV/f.u.
M_tot   0.000 μB/atom
DFT total energy   -3.880 eV per atom



Record 6
Compound: La2BeAu
Source: Alexandria
Functional: PBE
Structure: relaxed

a b c (Å): 3.7148 3.7257 7.2507
angles (deg): 90.00 90.00 90.00
Closest atoms and distances in Å follow each position.
Space group Pmmm (No. 47)
Asymmetric unit:
La  0.0000  0.0000  0.2310  4 Be 3.12, 4 Au 3.27, 1 La 3.35
Be  0.5000  0.5000  0.0000  8 La 3.12
Au  0.5000  0.5000  0.5000  8 La 3.27, 2 Be 3.63

Computed properties:
Calculated formation energy   -1.1 eV/f.u.
M_tot   0.000 μB/atom
DFT total energy   -4.494 eV per atom



Record 7
Compound: LaBeAu
Source: Alexandria
Functional: PBE
Structure: relaxed

a b c (Å): 4.3086 4.3086 4.0995
angles (deg): 90.00 90.00 120.00
Closest atoms and distances in Å follow each position.
Space group P-6m2 (No. 187)
Asymmetric unit:
La  0.0000  0.0000  0.0000  6 Be 3.22, 6 Au 3.22
Be  0.3333  0.6667  0.5000  3 Au 2.49
Au  0.6667  0.3333  0.5000  3 Be 2.49

Computed properties:
Calculated formation energy   -1.3 eV/f.u.
M_tot   0.000 μB/atom
DFT total energy   -4.408 eV per atom



Record 8
Compound: La2BeAu2
Source: Alexandria
Functional: PBE
Structure: relaxed

a b c (Å): 7.8234 7.8234 4.1447
angles (deg): 90.00 90.00 90.00
Closest atoms and distances in Å follow each position.
Space group P4/mbm (No. 127)
Asymmetric unit:
La  0.1741  0.3259  0.0000  6 Au 2.98-3.19
Be  0.0000  0.0000  0.5000  4 Au 3.06
Au  0.1326  0.6326  0.5000  1 Au 2.93, 6 La 2.98-3.19, 2 Be 3.06

Computed properties:
Calculated formation energy   -1.9 eV/f.u.
M_tot   0.000 μB/atom
DFT total energy   -4.415 eV per atom



Record 9
Compound: LaBe3Au
Source: Alexandria
Functional: PBE
Structure: relaxed

a b c (Å): 4.9531 4.9531 4.9531
angles (deg): 90.00 90.00 90.00
Closest atoms and distances in Å follow each position.
Space group Pm-3m (No. 221)
Asymmetric unit:
La  0.0000  0.0000  0.0000  6 Be 2.48
Be  0.0000  0.0000  0.5000  2 La 2.48
Au  0.5000  0.5000  0.5000  12 Be 3.50

Computed properties:
Calculated formation energy   10.1 eV/f.u.
M_tot   0.000 μB/atom
DFT total energy   -1.854 eV per atom



Record 10
Compound: La2BeAu
Source: Alexandria
Functional: PBE
Structure: relaxed

a b c (Å): 7.1237 7.1237 7.1237
angles (deg): 90.00 90.00 90.00
Closest atoms and distances in Å follow each position.
Space group F-43m (No. 216)
Asymmetric unit:
La  0.0000  0.0000  0.0000  4 Be 3.08, 4 La 3.08
La  0.2500  0.2500  0.2500  4 La 3.08, 4 Au 3.08
Be  0.2500  0.2500  0.7500  4 La 3.08, 4 Au 3.08
Au  0.0000  0.0000  0.5000  4 La 3.08, 4 Be 3.08

Computed properties:
Calculated formation energy   -0.1 eV/f.u.
M_tot   0.000 μB/atom
DFT total energy   -4.233 eV per atom



Record 11
Compound: LaBeAu
Source: Alexandria
Functional: PBE
Structure: relaxed

a b c (Å): 3.2566 3.2566 11.3367
angles (deg): 90.00 90.00 90.00
Closest atoms and distances in Å follow each position.
Space group I4mm (No. 107)
Asymmetric unit:
La  0.0000  0.0000  0.0000  4 La 3.26, 5 Au 3.28-3.32, 5 Be 3.28-3.33
Be  0.0000  0.0000  0.7059  4 Au 2.49
Au  0.0000  0.0000  0.2890  4 Be 2.49

Computed properties:
Calculated formation energy   -0.6 eV/f.u.
M_tot   0.077 μB/atom
DFT total energy   -4.180 eV per atom



Record 12
Compound: LaBeAu4
Source: Alexandria
Functional: PBE
Structure: relaxed

a b c (Å): 7.9121 7.9121 7.9121
angles (deg): 90.00 90.00 90.00
Closest atoms and distances in Å follow each position.
Space group F-43m (No. 216)
Asymmetric unit:
La  0.0000  0.0000  0.0000  12 Au 3.28, 4 Be 3.43
Be  0.2500  0.2500  0.2500  12 Au 3.28, 4 La 3.43
Au  0.1241  0.1241  0.6241  6 Au 2.78-2.82

Computed properties:
Calculated formation energy   -1.1 eV/f.u.
M_tot   0.000 μB/atom
DFT total energy   -3.803 eV per atom



Question: Which formula does entry 5 have?
Answer: LaBe3Au6